1.
A plane-wave DFT calculation with PBE was carried out for crystalline NaAcCuAu at its relaxed geometry.

The space group is F-43m (No. 216) and the conventional cell measures 7.428, 7.428 and 7.428 Å, with angles of 90.00, 90.00 and 90.00 degrees. The distinct sites, in fractional coordinates, are Na at (0.000, 0.000, 0.000), Ac at (0.000, 0.000, 0.500), Cu at (0.250, 0.250, 0.750) and Au at (0.250, 0.250, 0.250).

For the magnetization, the calculation gives 0.0 μB/cell. The calculation puts the final energy at -55.242 eV for the cell shown. The calculation puts the calculated formation energy at -252 meV/atom.

2.
A plane-wave DFT calculation with PBE was carried out for crystalline PRhCl2 at its relaxed geometry.

The space group is Cm (No. 8) and the conventional cell measures 6.079, 3.510 and 8.046 Å, with angles of 90.00, 90.41 and 90.00 degrees. The distinct sites, in fractional coordinates, are P at (0.000, 0.000, 0.000), Rh at (0.335, 0.000, 0.130), Cl at (0.170, 0.500, 0.329) and Cl at (0.498, 0.500, 0.748).

For the magnetization, the calculation gives 0.0 μB/cell. The formation energy from raw total energies comes out at -0.737 eV/atom. The calculation puts the final energy at -38.802 eV for the cell shown. The value obtained for the energy relative to the lowest polymorph listed for this composition is 0 meV/atom.

3.
A plane-wave DFT calculation with PBE was carried out for crystalline Cd2ReAs at its relaxed geometry.

The space group is P4/mmm (No. 123) and the conventional cell measures 5.082, 5.082 and 2.938 Å, with angles of 90.00, 90.00 and 90.00 degrees. The distinct sites, in fractional coordinates, are Cd at (0.000, 0.500, 0.000), Re at (0.000, 0.000, 0.500) and As at (0.500, 0.500, 0.500).

For the magnetization, the calculation gives 0.0 μB/cell. The calculation puts the final energy at -15.818 eV for the cell shown. The calculation puts the calculated formation energy at 777 meV/atom.

What is the final energy in the first record?
-55.242 eV for the cell shown

Number 1 is which compound?
NaAcCuAu

Number 1 is which compound?
NaAcCuAu